[1]
A geometry-optimized Hf2Ge2Te structure. Source: the Alexandria database, functional PBE.

Cell: 7.587 7.587 3.654 Å, 90.00 90.00 90.00°
Fractional positions:
1 Hf 0.163 0.337 0.000
2 Hf 0.337 0.837 0.000
3 Hf 0.663 0.163 0.000
4 Hf 0.837 0.663 0.000
5 Ge 0.128 0.628 0.500
6 Ge 0.372 0.128 0.500
7 Ge 0.628 0.872 0.500
8 Ge 0.872 0.372 0.500
9 Te 0.000 0.000 0.000
10 Te 0.500 0.500 0.000

Calculated values
- total moment (μB per cell) = 0.0
- total energy (eV/atom) = -6.864
- volume (Å³/cell) = 210.3
- Fermi-level density of states (states/eV/cell) = 8.890
- raw formation energy (meV per atom) = -408
- crystal system = tetragonal
- space group = No. 127

=====

[2]
A geometry-optimized LaBe2Os2 structure. Source: the Alexandria database, functional PBE.

Cell: 7.374 7.374 2.743 Å, 90.00 90.00 90.00°
Fractional positions:
1 La 0.000 0.000 0.000
2 La 0.500 0.500 0.000
3 Be 0.146 0.354 0.000
4 Be 0.354 0.854 0.000
5 Be 0.646 0.146 0.000
6 Be 0.854 0.646 0.000
7 Os 0.130 0.630 0.500
8 Os 0.370 0.130 0.500
9 Os 0.630 0.870 0.500
10 Os 0.870 0.370 0.500

Calculated values
- excess energy over the best structure of this formula in the dataset (meV/atom) = 159
- total moment (μB per cell) = 0.0
- total energy (eV/atom) = -6.813
- volume (Å³/cell) = 149.2
- Fermi-level density of states (states/eV/cell) = 6.585
- formation enthalpy at 0 K (eV per formula unit) = 0.78
- crystal system = tetragonal
- space group = No. 127

=====

[3]
A geometry-optimized NbTc2Cl structure. Source: the Alexandria database, functional PBE.

Cell: 6.229 6.229 6.229 Å, 123.25 123.25 84.45°
Fractional positions:
1 Nb 0.000 0.000 0.000
2 Nb 0.750 0.250 0.500
3 Tc 0.162 0.625 0.037
4 Tc 0.375 0.412 0.537
5 Tc 0.588 0.125 0.963
6 Tc 0.875 0.838 0.463
7 Cl 0.250 0.750 0.500
8 Cl 0.500 0.500 0.000

Calculated values
- excess energy over the best structure of this formula in the dataset (meV/atom) = 258
- total moment (μB per cell) = 0.0
- total energy (eV/atom) = -7.109
- volume (Å³/cell) = 161.7
- Fermi-level density of states (states/eV/cell) = 1.817
- raw formation energy (meV per atom) = 1053
- crystal system = tetragonal
- space group = No. 122

=====

[4]
A geometry-optimized CaTaPO2 structure. Source: the Alexandria database, functional PBE.

Cell: 4.000 4.000 5.104 Å, 90.00 90.00 90.00°
Fractional positions:
1 Ca 0.000 0.000 0.000
2 Ta 0.500 0.500 0.500
3 P 0.500 0.500 0.000
4 O 0.000 0.500 0.500
5 O 0.500 0.000 0.500

Calculated values
- excess energy over the best structure of this formula in the dataset (meV/atom) = 0
- total moment (μB per cell) = 0.0
- total energy (eV/atom) = -7.875
- volume (Å³/cell) = 81.7
- Fermi-level density of states (states/eV/cell) = 0.335
- raw formation energy (meV per atom) = -2039
- crystal system = tetragonal
- space group = No. 123

=====

[5]
A geometry-optimized Ca3CrH structure. Source: the Alexandria database, functional PBE.

Cell: 5.011 5.011 5.011 Å, 90.00 90.00 90.00°
Fractional positions:
1 Ca 0.000 0.000 0.500
2 Ca 0.000 0.500 0.000
3 Ca 0.500 0.000 0.000
4 Cr 0.500 0.500 0.500
5 H 0.000 0.000 0.000

Calculated values
- excess energy over the best structure of this formula in the dataset (meV/atom) = 0
- total moment (μB per cell) = 4.6
- total energy (eV/atom) = -3.651
- volume (Å³/cell) = 125.8
- Fermi-level density of states (states/eV/cell) = 2.682
- crystal system = cubic
- space group = No. 221

=====

[6]
A geometry-optimized PrY8Tm2 structure. Source: the Alexandria database, functional PBE.

Cell: 9.342 9.342 5.890 Å, 105.66 105.66 122.13°
Fractional positions:
1 Pr 0.000 0.000 0.000
2 Y 0.099 0.341 0.683
3 Y 0.206 0.794 0.000
4 Y 0.341 0.099 0.683
5 Y 0.431 0.431 0.209
6 Y 0.569 0.569 0.791
7 Y 0.659 0.901 0.317
8 Y 0.794 0.206 0.000
9 Y 0.901 0.659 0.317
10 Tm 0.309 0.691 0.500
11 Tm 0.691 0.309 0.500

Calculated values
- total moment (μB per cell) = 0.0
- total energy (eV/atom) = -5.787
- volume (Å³/cell) = 361.3
- Fermi-level density of states (states/eV/cell) = 18.750
- formation enthalpy at 0 K (eV per formula unit) = 1.77
- crystal system = monoclinic
- space group = No. 12

=====

[7]
A geometry-optimized PaGaF4 structure. Source: the Alexandria database, functional PBE.

Cell: 6.215 6.215 6.215 Å, 131.08 131.08 71.68°
Fractional positions:
1 Pa 0.000 0.000 0.000
2 Ga 0.750 0.250 0.500
3 F 0.189 0.703 0.111
4 F 0.297 0.407 0.486
5 F 0.593 0.078 0.889
6 F 0.922 0.811 0.514

Calculated values
- total moment (μB per cell) = 1.8
- total energy (eV/atom) = -5.933
- volume (Å³/cell) = 133.5
- Fermi-level density of states (states/eV/cell) = 4.526
- raw formation energy (meV per atom) = -2598
- crystal system = tetragonal
- space group = No. 82

=====

[8]
A geometry-optimized ScRh2W structure. Source: the Alexandria database, functional PBE.

Cell: 5.622 5.622 5.622 Å, 149.93 132.62 57.14°
Fractional positions:
1 Sc 0.000 0.000 0.000
2 Rh 0.262 0.762 0.500
3 Rh 0.505 0.505 0.000
4 W 0.728 0.228 0.500

Calculated values
- excess energy over the best structure of this formula in the dataset (meV/atom) = 209
- total moment (μB per cell) = 0.0
- total energy (eV/atom) = -8.728
- volume (Å³/cell) = 65.1
- Fermi-level density of states (states/eV/cell) = 3.706
- formation enthalpy at 0 K (eV per formula unit) = -0.92
- crystal system = orthorhombic
- space group = No. 44

=====

[9]
A geometry-optimized Cu2PCl structure. Source: the Alexandria database, functional PBE.

Cell: 3.014 3.014 6.676 Å, 90.00 90.00 90.00°
Fractional positions:
1 Cu 0.000 0.000 0.207
2 Cu 0.000 0.000 0.793
3 P 0.500 0.500 0.000
4 Cl 0.500 0.500 0.500

Calculated values
- excess energy over the best structure of this formula in the dataset (meV/atom) = 288
- total moment (μB per cell) = 0.0
- total energy (eV/atom) = -3.670
- volume (Å³/cell) = 60.6
- Fermi-level density of states (states/eV/cell) = 1.862
- raw formation energy (meV per atom) = 192
- crystal system = tetragonal
- space group = No. 123

=====

[10]
A geometry-optimized Sm2Ho4Tm structure. Source: the Alexandria database, functional PBE.

Cell: 6.064 6.584 11.516 Å, 90.00 104.02 90.00°
Fractional positions:
1 Sm 0.102 0.250 0.495
2 Sm 0.212 0.250 0.071
3 Sm 0.788 0.750 0.929
4 Sm 0.898 0.750 0.505
5 Ho 0.149 0.005 0.788
6 Ho 0.149 0.495 0.788
7 Ho 0.350 0.750 0.057
8 Ho 0.480 0.750 0.645
9 Ho 0.520 0.250 0.355
10 Ho 0.650 0.250 0.943
11 Ho 0.851 0.505 0.212
12 Ho 0.851 0.995 0.212
13 Tm 0.352 0.750 0.343
14 Tm 0.648 0.250 0.657

Calculated values
- total moment (μB per cell) = 0.0
- total energy (eV/atom) = -4.463
- volume (Å³/cell) = 446.1
- Fermi-level density of states (states/eV/cell) = 23.509
- formation enthalpy at 0 K (eV per formula unit) = 0.98
- crystal system = monoclinic
- space group = No. 11

=====

[11]
A geometry-optimized TcHgOs2 structure. Source: the Alexandria database, functional PBE.

Cell: 4.957 4.957 4.957 Å, 133.69 133.69 67.57°
Fractional positions:
1 Tc 0.000 0.000 0.000
2 Hg 0.250 0.750 0.500
3 Os 0.500 0.500 0.000
4 Os 0.750 0.250 0.500

Calculated values
- total moment (μB per cell) = 0.0
- total energy (eV/atom) = -7.510
- volume (Å³/cell) = 62.6
- Fermi-level density of states (states/eV/cell) = 5.342
- formation enthalpy at 0 K (eV per formula unit) = 3.09
- crystal system = tetragonal
- space group = No. 119

=====

[12]
A geometry-optimized AgPdAu2 structure. Source: the Alexandria database, functional PBE.

Cell: 4.086 4.086 4.132 Å, 90.00 90.00 90.00°
Fractional positions:
1 Ag 0.000 0.000 0.000
2 Pd 0.500 0.500 0.000
3 Au 0.000 0.500 0.500
4 Au 0.500 0.000 0.500

Calculated values
- excess energy over the best structure of this formula in the dataset (meV/atom) = 0
- total moment (μB per cell) = 0.0
- total energy (eV/atom) = -3.741
- volume (Å³/cell) = 69.0
- Fermi-level density of states (states/eV/cell) = 0.702
- formation enthalpy at 0 K (eV per formula unit) = -0.37
- crystal system = tetragonal
- space group = No. 123

=====

- Number 6 is which compound?
  PrY8Tm2

=====

- Look up the total energy of the tenth one.
  -4.463 eV/atom

=====

- Among the records above, which one has the lowest Fermi-level density of states?
  CaTaPO2

=====

- Which of these has the highest total energy?
  Ca3CrH